[1]
Here is crystalline NaI at its relaxed geometry from Alexandria. Energies are from PBE.

abc: 9.7536 9.7536 9.7536
angles: 90.00 90.00 90.00
Last column: nearest neighbours and their distance in Å.
Positions (direct):
I1 0.6677 0.6677 0.3323  4 Na 3.04-3.13
I2 0.3323 0.6677 0.6677  4 Na 3.04-3.13
Na1 0.3478 0.3478 0.6522  4 I 3.04-3.13
I3 0.1677 0.8323 0.1677  4 Na 3.04-3.13
Na2 0.6522 0.6522 0.6522  4 I 3.04-3.13
Na3 0.3478 0.6522 0.3478  4 I 3.04-3.13
I4 0.1677 0.1677 0.8323  4 Na 3.04-3.13
Na4 0.8478 0.8478 0.1522  4 I 3.04-3.13
I5 0.3323 0.3323 0.3323  4 Na 3.04-3.13
Na5 0.1522 0.1522 0.1522  4 I 3.04-3.13
Na6 0.8478 0.1522 0.8478  4 I 3.04-3.13
Na7 0.1522 0.8478 0.8478  4 I 3.04-3.13
I6 0.8323 0.8323 0.8323  4 Na 3.04-3.13
I7 0.6677 0.3323 0.6677  4 Na 3.04-3.13
Na8 0.6522 0.3478 0.3478  4 I 3.04-3.13
I8 0.8323 0.1677 0.1677  4 Na 3.04-3.13

Results
Its space group is No. 217. The total energy comes out at -2.62 eV per atom. The calculation puts the uncorrected formation energy at -1.19 eV/atom.

=====

[2]
Here is crystalline Na6I at its relaxed geometry from Alexandria. Energies are from PBE.

abc: 7.8407 7.8407 7.8407
angles: 109.47 109.47 109.47
Last column: nearest neighbours and their distance in Å.
Positions (direct):
Na1 0.5000 0.7500 0.2500  4 Na 3.20
Na2 0.7500 0.5000 0.2500  4 Na 3.20
Na3 0.5000 0.2500 0.7500  4 Na 3.20
Na4 0.2500 0.5000 0.7500  4 Na 3.20
Na5 0.2500 0.7500 0.5000  4 Na 3.20
Na6 0.7500 0.2500 0.5000  4 Na 3.20
I1 0.0000 0.0000 0.0000  24 Na 5.06

Results
Its space group is No. 229. The total energy comes out at -1.19 eV per atom. The calculation puts the uncorrected formation energy at 0.16 eV/atom.

=====

[3]
Here is crystalline Na2NbI6 at its relaxed geometry from Alexandria. Energies are from PBE.

abc: 7.3366 7.3366 13.6703
angles: 90.00 90.00 90.00
Last column: nearest neighbours and their distance in Å.
Positions (direct):
I1 0.8105 0.1895 0.3514  1 Nb 2.83
I2 0.7713 0.2287 0.0000  1 Nb 2.82
Nb1 0.0000 0.0000 0.5000  6 I 2.82-2.83
Na1 0.5000 0.5000 0.3324  6 I 3.19-3.30
Na2 0.5000 0.5000 0.6676  6 I 3.19-3.30
I3 0.3105 0.3105 0.1486  1 Nb 2.83
Na3 0.0000 0.0000 0.1676  6 I 3.19-3.30
Nb2 0.5000 0.5000 0.0000  6 I 2.82-2.83
Na4 0.0000 0.0000 0.8324  6 I 3.19-3.30
I4 0.2287 0.7713 0.0000  1 Nb 2.82
I5 0.1895 0.8105 0.3514  1 Nb 2.83
I6 0.6895 0.6895 0.1486  1 Nb 2.83
I7 0.2713 0.2713 0.5000  1 Nb 2.82
I8 0.3105 0.3105 0.8514  1 Nb 2.83
I9 0.8105 0.1895 0.6486  1 Nb 2.83
I10 0.6895 0.6895 0.8514  1 Nb 2.83
I11 0.1895 0.8105 0.6486  1 Nb 2.83
I12 0.7287 0.7287 0.5000  1 Nb 2.82

Results
Its space group is No. 136. The total energy comes out at -3.18 eV per atom. The calculation puts the uncorrected formation energy at -0.74 eV/atom.

=====

[4]
Here is crystalline Na2NbI at its relaxed geometry from Alexandria. Energies are from PBE.

abc: 5.6049 5.6049 5.6049
angles: 60.00 60.00 60.00
Last column: nearest neighbours and their distance in Å.
Positions (direct):
Na1 0.7500 0.7500 0.7500  4 Nb 3.43, 4 I 3.43
I1 0.5000 0.5000 0.5000  8 Na 3.43
Nb1 0.0000 0.0000 0.0000  8 Na 3.43
Na2 0.2500 0.2500 0.2500  4 I 3.43, 4 Nb 3.43

Results
Its space group is No. 225. The total energy comes out at -2.79 eV per atom. The calculation puts the energy above the most stable polymorph in this dataset at 0.42 eV/f.u. The calculation puts the uncorrected formation energy at 0.77 eV/atom.